1.
The following is a DFT calculation (PBE) of a relaxed SrTlAu2 crystal.

Cell lengths 4.0568, 4.0568, 6.4629 Å; angles 90.00, 90.00, 90.00 degrees
Closest atoms and distances in Å follow each position.
Atoms (fractional coordinates):
Sr  0.0000  0.0000  0.0000  6 Au 3.17-3.27
Tl  0.5000  0.5000  0.3432  5 Au 2.90-3.06
Au  0.0000  0.0000  0.5063  4 Tl 3.06, 2 Sr 3.19-3.27, 4 Au 3.41
Au  0.5000  0.5000  0.7912  1 Tl 2.90, 4 Sr 3.17

Calculated values
Formation enthalpy at 0 K = -0.357 eV per atom
SG = P4mm (99)

2.
The following is a DFT calculation (PBE) of a relaxed KLuGa4 crystal.

Cell lengths 5.6306, 5.6306, 5.6306 Å; angles 60.00, 60.00, 60.00 degrees
Closest atoms and distances in Å follow each position.
Atoms (fractional coordinates):
K  0.0000  0.0000  0.0000  12 Ga 3.30, 4 Lu 3.45
Lu  0.7500  0.7500  0.7500  12 Ga 3.30, 4 K 3.45
Ga  0.3754  0.3754  0.3754  6 Ga 2.81-2.83
Ga  0.3754  0.3754  0.8737  6 Ga 2.81-2.83
Ga  0.3754  0.8737  0.3754  6 Ga 2.81-2.83
Ga  0.8737  0.3754  0.3754  6 Ga 2.81-2.83

Calculated values
Formation enthalpy at 0 K = -0.170 eV per atom
SG = F-43m (216)

3.
The following is a DFT calculation (PBE) of a relaxed CsMgTa3 crystal.

Cell lengths 5.0554, 5.0554, 5.0554 Å; angles 90.00, 90.00, 90.00 degrees
Closest atoms and distances in Å follow each position.
Atoms (fractional coordinates):
Cs  0.0000  0.0000  0.0000  12 Ta 3.57
Mg  0.5000  0.5000  0.5000  6 Ta 2.53
Ta  0.0000  0.5000  0.5000  2 Mg 2.53
Ta  0.5000  0.0000  0.5000  2 Mg 2.53
Ta  0.5000  0.5000  0.0000  2 Mg 2.53

Calculated values
Formation enthalpy at 0 K = 2.485 eV per atom
SG = Pm-3m (221)